Record 1
PBE PmYZr2, relaxed; calculated volume = 109.2 Å³ per cell; symmetry = No. 123; crystal system = tetragonal; E_form = 0.16 eV/atom; ΔE to the lowest computed polymorph = 0.0 meV/atom
1.0
4.840 0.000 0.000
0.000 4.749 0.000
0.000 0.000 4.749
Y Zr Pm
1 2 1
Direct
0.500 0.000 0.000 Y
0.000 0.000 0.500 Zr
0.000 0.500 0.000 Zr
0.500 0.500 0.500 Pm


Record 2
PBE Sr2SiAg, relaxed; calculated volume = 115.0 Å³ per cell; symmetry = No. 123; formation energy (no corrections) = -0.243 eV per atom; crystal system = tetragonal
1.0
3.752 0.000 0.000
0.000 3.743 0.000
0.000 0.000 8.186
Ag Si Sr
1 1 2
Direct
0.500 0.500 0.250 Ag
0.500 0.500 0.750 Si
0.000 0.000 0.988 Sr
0.000 0.000 0.512 Sr


Record 3
PBE Cu2P2Au, relaxed; calculated volume = 74.2 Å³ per cell; symmetry = No. 139; crystal system = tetragonal; E_form = 0.20 eV/atom; ΔE to the lowest computed polymorph = 5.1 meV/atom
1.0
3.458 0.000 0.000
0.000 3.458 0.000
1.729 1.729 6.209
P Au Cu
2 1 2
Direct
0.750 0.250 0.500 P
0.250 0.750 0.500 P
0.000 0.000 0.000 Au
0.398 0.398 0.204 Cu
0.602 0.602 0.796 Cu


Record 4
PBE Pr5Sm2Er6, relaxed; calculated volume = 874.0 Å³ per cell; symmetry = No. 55; crystal system = orthorhombic; E_form = 0.09 eV/atom
1.0
3.613 0.000 0.000
0.000 11.722 0.000
0.000 0.000 20.637
Pr Sm Er
10 4 12
Direct
0.500 0.300 0.450 Pr
0.500 0.700 0.550 Pr
0.500 0.800 0.050 Pr
0.500 0.200 0.950 Pr
0.500 0.583 0.276 Pr
0.500 0.417 0.724 Pr
0.500 0.083 0.224 Pr
0.500 0.917 0.776 Pr
0.500 0.500 0.000 Pr
0.500 0.000 0.500 Pr
0.000 0.327 0.286 Sm
0.000 0.673 0.714 Sm
0.000 0.827 0.214 Sm
0.000 0.173 0.786 Sm
0.000 0.077 0.367 Er
0.000 0.923 0.633 Er
0.000 0.577 0.133 Er
0.000 0.423 0.867 Er
0.500 0.321 0.134 Er
0.500 0.679 0.866 Er
0.500 0.821 0.366 Er
0.500 0.179 0.634 Er
0.000 0.562 0.421 Er
0.000 0.438 0.579 Er
0.000 0.062 0.079 Er
0.000 0.938 0.921 Er


Record 5
PBE Tl2HgBr, relaxed; calculated volume = 276.4 Å³ per cell; symmetry = No. 122; formation energy (no corrections) = -0.283 eV per atom; crystal system = tetragonal; ΔE to the lowest computed polymorph = 77.0 meV/atom
1.0
8.842 0.000 0.000
0.000 8.842 0.000
4.421 4.421 3.536
Tl Hg Br
4 2 2
Direct
0.625 0.125 0.250 Tl
0.125 0.625 0.250 Tl
0.375 0.375 0.750 Tl
0.875 0.875 0.750 Tl
0.000 0.000 0.000 Hg
0.750 0.250 0.500 Hg
0.500 0.500 0.000 Br
0.250 0.750 0.500 Br


Record 6
PBE CsCuCl3, relaxed; calculated volume = 885.6 Å³ per cell; symmetry = No. 178; formation energy (no corrections) = -1.125 eV per atom; crystal system = hexagonal
1.0
-3.546 -1.547 6.324
-0.285 -4.767 -5.671
15.213 -8.562 6.433
Cs Cu Cl
6 6 18
Direct
0.643 0.287 0.750 Cs
0.357 0.643 0.917 Cs
0.287 0.643 0.583 Cs
0.713 0.357 0.083 Cs
0.643 0.357 0.417 Cs
0.357 0.713 0.250 Cs
0.922 0.000 0.500 Cu
0.922 0.922 0.667 Cu
0.000 0.078 0.333 Cu
0.000 0.922 0.833 Cu
0.078 0.078 0.167 Cu
0.078 0.000 0.000 Cu
0.367 0.147 0.928 Cl
0.853 0.220 0.261 Cl
0.780 0.633 0.594 Cl
0.220 0.367 0.094 Cl
0.633 0.780 0.739 Cl
0.633 0.853 0.428 Cl
0.147 0.780 0.761 Cl
0.853 0.633 0.906 Cl
0.780 0.147 0.572 Cl
0.220 0.853 0.072 Cl
0.147 0.367 0.406 Cl
0.367 0.220 0.239 Cl
0.904 0.807 0.250 Cl
0.096 0.904 0.417 Cl
0.807 0.904 0.083 Cl
0.193 0.096 0.583 Cl
0.904 0.096 0.917 Cl
0.096 0.193 0.750 Cl


Among the records above, which one has the highest calculated volume? CsCuCl3